A relaxed structure of FeIO2F. Source: Alexandria via LeMat-Bulk, functional PBE+U.

Calculated values
The total energy is -0.1408 Ha/atom. For the density of states at the Fermi level, the calculation gives 0.526 states/eV/atom. As for the volume: 92.66 Å³/cell.

Cell lengths 4.043, 4.043, 5.668 Å; angles 90.00, 90.00, 90.00 degrees
Space group P4/mmm (No. 123)
Inequivalent atoms, fractional coordinates:
Fe 0.000 0.000 0.000 [1 per cell]
I 0.500 0.500 0.500 [1 per cell]
O 0.000 0.500 0.500 [2 per cell]
F 0.500 0.500 0.000 [1 per cell]